Density functional theory data (PBE) for crystalline Tb2Tm7Cd2 at its relaxed geometry.

Cell: 6.5306 6.5306 7.9131 Å, 100.24 100.24 91.64°
With the nearest neighbours (Å) after each atom.
Element x y z (fractional)
Tb1 0.1791 0.8209 0.0000  8 Tm 3.33-3.58, 1 Tb 3.36
Tb2 0.8209 0.1791 0.0000  8 Tm 3.33-3.58, 1 Tb 3.36
Tm1 0.0000 0.0000 0.5000  4 Tm 3.35, 2 Cd 3.53
Tm2 0.1166 0.5216 0.3264  2 Cd 3.09-3.15, 3 Tm 3.35-3.42, 1 Tb 3.37
Tm3 0.3064 0.3064 0.9648  1 Cd 2.87
Tm4 0.4784 0.8834 0.6736  2 Cd 3.09-3.15, 3 Tm 3.35-3.42, 1 Tb 3.37
Tm5 0.5216 0.1166 0.3264  2 Cd 3.09-3.15, 3 Tm 3.35-3.42, 1 Tb 3.37
Tm6 0.6936 0.6936 0.0352  1 Cd 2.87
Tm7 0.8834 0.4784 0.6736  2 Cd 3.09-3.15, 3 Tm 3.35-3.42, 1 Tb 3.37
Cd1 0.3998 0.3998 0.6448  5 Tm 2.87-3.15
Cd2 0.6002 0.6002 0.3552  5 Tm 2.87-3.15

## Properties
Energy relative to the elements (meV per atom): 41.5
Crystal system: monoclinic
Volume (A^3/atom): 29.65
Total DFT energy (no corrections) (eV per formula unit): -41.94
N(E_F) (states/eV/cell): 14.40

---

Density functional theory data (PBE) for crystalline KMg2Bi at its relaxed geometry.

Cell: 4.8089 4.8089 11.6051 Å, 90.00 90.00 90.00°
With the nearest neighbours (Å) after each atom.
Element x y z (fractional)
K1 0.2500 0.2500 0.2402  1 Mg 3.44, 4 Bi 3.61
K2 0.7500 0.7500 0.7598  1 Mg 3.44, 4 Bi 3.61
Mg1 0.2500 0.2500 0.9438  1 Bi 3.34, 1 K 3.44, 4 Mg 3.64
Mg2 0.2500 0.7500 0.5000  4 Bi 3.01
Mg3 0.7500 0.2500 0.5000  4 Bi 3.01
Mg4 0.7500 0.7500 0.0562  1 Bi 3.34, 1 K 3.44, 4 Mg 3.64
Bi1 0.2500 0.2500 0.6563  5 Mg 3.01-3.34
Bi2 0.7500 0.7500 0.3437  5 Mg 3.01-3.34

## Properties
Energy relative to the elements (meV per atom): -187.8
Crystal system: tetragonal
Volume (A^3/atom): 33.55
Total DFT energy (no corrections) (eV per formula unit): -8.92
N(E_F) (states/eV/cell): 1.29

---

Density functional theory data (PBE) for crystalline BeCd2Fe at its relaxed geometry.

Cell: 4.4552 4.4552 3.1357 Å, 90.00 90.00 90.00°
With the nearest neighbours (Å) after each atom.
Element x y z (fractional)
Be1 0.0000 0.0000 0.0000  8 Cd 2.72
Cd1 0.0000 0.5000 0.5000  4 Fe 2.72, 4 Be 2.72
Cd2 0.5000 0.0000 0.5000  4 Fe 2.72, 4 Be 2.72
Fe1 0.5000 0.5000 0.0000  8 Cd 2.72

## Properties
Energy relative to the elements (meV per atom): 441.4
Crystal system: tetragonal
Volume (A^3/atom): 15.56
Total DFT energy (no corrections) (eV per formula unit): -12.25
N(E_F) (states/eV/cell): 2.39

---

Density functional theory data (PBE) for crystalline RbVIBr2 at its relaxed geometry.

Cell: 5.3449 5.3449 5.7489 Å, 90.00 90.00 90.00°
With the nearest neighbours (Å) after each atom.
Element x y z (fractional)
Rb1 0.0000 0.0000 0.0000  4 I 3.78, 8 Br 3.92
V1 0.5000 0.5000 0.5000  4 Br 2.67, 2 I 2.87
I1 0.5000 0.5000 0.0000  2 V 2.87
Br1 0.0000 0.5000 0.5000  2 V 2.67
Br2 0.5000 0.0000 0.5000  2 V 2.67

## Properties
Crystal system: tetragonal
Volume (A^3/atom): 32.85
Total DFT energy (no corrections) (eV per formula unit): -19.87
N(E_F) (states/eV/cell): 0.94
ΔE_f (raw) (eV per atom): -0.977

---

Number 1 is which compound? Tb2Tm7Cd2